This record from Alexandria via LeMat-Bulk describes a relaxed structure of Sr3Ac2LaSe6. The functional is PBE-GGA.

Cell: 9.939 9.939 8.900 Å, 103.87 103.87 25.59°
Element x y z (fractional)
Sr 0.000 0.000 0.000
Sr 0.333 0.333 0.666
Sr 0.667 0.667 0.334
Ac 0.335 0.335 0.170
Ac 0.665 0.665 0.830
La 0.000 0.000 0.500
Se 0.165 0.165 0.579
Se 0.166 0.166 0.085
Se 0.498 0.498 0.746
Se 0.502 0.502 0.254
Se 0.834 0.834 0.915
Se 0.835 0.835 0.421

Values from the calculation:
N(E_F): 4.92 states/eV per cell
uncorrected formation energy: -1.9549 eV/atom